The following is a DFT calculation (GGA+U) of a relaxed structure of K3FeOs2O9.

Cell: 5.5771 5.5771 6.8571 Å, 90.00 90.00 120.00°
Each line ends with the local moment (μB).
Positions (direct):
K1 0.3333 0.6667 0.6599  0.00
K2 0.0000 0.0000 0.0000  0.00
K3 0.6667 0.3333 0.3401  0.00
Fe1 0.0000 0.0000 0.5000  4.27
Os1 0.3333 0.6667 0.1659  0.07
Os2 0.6667 0.3333 0.8341  0.07
O1 0.8284 0.1716 0.6763  0.08
O2 0.8284 0.6568 0.6763  0.08
O3 0.3432 0.1716 0.6763  0.08
O4 0.6568 0.8284 0.3237  0.08
O5 0.1716 0.3432 0.3237  0.08
O6 0.1716 0.8284 0.3237  0.08
O7 0.5000 0.0000 0.0000  0.00
O8 0.0000 0.5000 0.0000  0.00
O9 0.5000 0.5000 0.0000  0.00

Calculated values
DOS at the Fermi energy	4.5	states/eV per cell
spin magnetization	5.0	Bohr magnetons per cell
calculated volume	184.7	Å³ per cell
ρ	6271	kg/m³
raw total energy	-6.407	eV per atom